## Mg2H6Ir (PBE)

Data for Mg2H6Ir after structural relaxation.

Computed properties:
The symmetry is Cm, No. 8. The value obtained for the raw total energy is -0.140 hartree per atom. Its total moment is 0.00 μB/f.u.

a = 4.6011 Å, b = 6.3818 Å, c = 4.6014 Å
α = 68.01°, β = 55.50°, γ = 67.96°
Fractional positions:
1 Mg 0.2193 0.4795 0.9135
2 Mg 0.4221 0.8610 0.1176
3 H 0.6527 0.9241 0.3498
4 H 0.1925 0.4529 0.4404
5 H 0.3105 0.1701 0.0060
6 H 0.7464 0.4527 0.8866
7 H 0.9545 0.8106 0.6498
8 H 0.6989 0.5167 0.3934
9 Ir 0.8290 0.6595 0.5240